The following is a DFT calculation (GGA-PBE) of an optimized crystal structure of Th2PaPdRh5.

```
data_Th2PaPdRh5
_chemical_formula_sum 'Th8 Pa4 Pd4 Rh20'
_cell_length_a 8.3886
_cell_length_b 8.3886
_cell_length_c 10.6325
_cell_angle_alpha 90.00
_cell_angle_beta 90.00
_cell_angle_gamma 90.00
_space_group_name_H-M_alt 'I 4/m c m'
_space_group_IT_number 140
_space_group_name_Hall '-I 4 2c'
loop_
_atom_site_label
_atom_site_fract_x
_atom_site_fract_y
_atom_site_fract_z
Th1 0.1354 0.3646 0.0000
Pa1 0.0000 0.0000 0.2500
Pd1 0.0000 0.5000 0.2500
Rh1 0.0000 0.0000 0.0000
Rh2 0.1943 0.3057 0.3602
```

## Properties
The value obtained for the energy is -279.2 eV per cell. Its calculated volume is 20.78 Å³/atom. As for the energy of formation: -3.52 eV/f.u. Its magnetic moment is 0.0 μB per formula unit.

The following is a DFT calculation (GGA-PBE) of an optimized crystal structure of LaHoRu.

```
data_LaHoRu
_chemical_formula_sum 'La2 Ho2 Ru2'
_cell_length_a 5.4707
_cell_length_b 5.3198
_cell_length_c 5.7512
_cell_angle_alpha 90.00
_cell_angle_beta 98.25
_cell_angle_gamma 90.00
_space_group_name_H-M_alt 'P 1 21/m 1'
_space_group_IT_number 11
loop_
_space_group_symop_operation_xyz
'x,y,z'
'-x,-y,-z'
'-x,y+1/2,-z'
'x,-y+1/2,z'
loop_
_atom_site_label
_atom_site_fract_x
_atom_site_fract_y
_atom_site_fract_z
La1 0.0608 0.2500 0.2856
Ho1 0.4902 0.2500 0.8169
Ru1 0.4062 0.7500 0.6546
```

## Properties
The value obtained for the energy is -39.1 eV per cell. Its calculated volume is 27.61 Å³/atom. As for the energy of formation: -0.77 eV/f.u. Its magnetic moment is 0.0 μB per formula unit.

The following is a DFT calculation (GGA-PBE) of an optimized crystal structure of SbPb2S5.

```
data_SbPb2S5
_chemical_formula_sum 'Sb1 Pb2 S5'
_cell_length_a 5.2095
_cell_length_b 5.7915
_cell_length_c 8.2809
_cell_angle_alpha 71.45
_cell_angle_beta 76.69
_cell_angle_gamma 84.79
_space_group_name_H-M_alt 'P 1'
_space_group_IT_number 1
loop_
_space_group_symop_operation_xyz
'x,y,z'
loop_
_atom_site_label
_atom_site_fract_x
_atom_site_fract_y
_atom_site_fract_z
Sb1 0.0000 0.0000 0.0000
Pb1 0.5054 0.5096 0.2499
Pb2 0.7039 0.6876 0.7035
S1 0.0192 0.0794 0.6326
S2 0.3717 0.9974 0.4918
S3 0.5025 0.9455 0.9516
S4 0.9078 0.7408 0.3130
S5 0.9764 0.4150 0.0108
```

## Properties
For the uncorrected formation energy, the calculation gives -0.23 eV/atom. The value obtained for the energy is -34.0 eV per cell. Its calculated volume is 28.81 Å³/atom. Its magnetic moment is 0.0 μB per formula unit.

> Which value of energy does entry 1 give?

-279.2 eV per cell